# 1
PBE-GGA AgPtCl2, optimized geometry; formation energy without anion corrections = 0.03 eV per atom; SG = No. 35
1.0
3.702 -0.015 0.000
-1.683 3.297 0.000
0.000 0.000 7.812
Pt Cl Ag
1 2 1
direct
0.000 0.000 0.497 Pt
0.000 0.000 0.930 Cl
0.500 0.500 0.336 Cl
0.500 0.500 0.737 Ag

# 2
PBE-GGA FeSiHgBiH, optimized geometry; total DFT energy (no corrections) = -4.135 eV/atom; SG = No. 8
1.0
8.373 0.000 -0.225
0.000 3.329 0.000
-0.344 0.000 6.985
Si Hg Bi H Fe
2 2 2 2 2
direct
0.833 0.000 0.861 Si
0.833 0.500 0.361 Si
0.178 0.500 0.430 Hg
0.178 0.000 0.930 Hg
0.536 0.500 0.706 Bi
0.536 0.000 0.206 Bi
0.927 0.500 0.140 H
0.927 0.000 0.640 H
0.753 0.000 0.545 Fe
0.753 0.500 0.045 Fe

# 3
PBE-GGA Nb3Re, optimized geometry; ΔH_f (0 K) = 0.182 eV/atom; SG = No. 25
1.0
-0.560 -2.498 -0.696
-0.902 -1.065 4.550
-5.350 1.403 -0.733
Re Nb
1 3
direct
0.000 0.000 0.027 Re
0.500 0.000 0.528 Nb
0.500 0.500 0.811 Nb
0.000 0.500 0.300 Nb

# 4
PBE-GGA PrCo2P2, optimized geometry; ΔH_f (0 K) = -0.963 eV/atom; SG = No. 139
1.0
3.837 -0.004 0.002
0.002 3.837 0.002
-1.923 -1.921 5.267
P Co Pr
2 2 1
direct
0.643 0.643 0.286 P
0.357 0.357 0.714 P
0.750 0.250 0.500 Co
0.250 0.750 0.500 Co
0.000 0.000 0.000 Pr

no.,spin magnetization (μB/f.u.)
1,0.00
2,0.47
3,0.00
4,1.27